First-principles (PBE+U) data for crystalline Na2FeO2 at its relaxed geometry, as listed in the Alexandria database.

The structure belongs to space group Cmc2_1 (No. 36); the cell edges are 3.273, 15.832 and 5.555 Å and the angles 90.00°, 90.00° and 90.00°. The inequivalent atoms are Na at (0.000, 0.026, 0.000), Na at (0.000, 0.187, 0.829), Fe at (0.000, 0.368, 0.903), O at (0.000, 0.169, 0.246) and O at (0.000, 0.423, 0.203).

The value obtained for the spin magnetization is 16.0 μB per cell. Its density is 3.088 g cm⁻³. As for the total energy: -4.933 eV/atom. Its volume is 14.394 A^3/atom.